The following is a PBE calculation of VSi2Pd after structural relaxation, from the Alexandria database.

Cell lengths 4.2503, 4.2503, 4.2503 Å; angles 60.00, 60.00, 60.00 degrees
Positions (direct):
V 0.0000 0.0000 0.0000
Si 0.2500 0.2500 0.2500
Si 0.7500 0.7500 0.7500
Pd 0.5000 0.5000 0.5000

DOS(E_F): 3.8 states/eV/cell
SG: Fm-3m
energy relative to the elements, uncorrected: -0.20 eV/atom